[1]
The following is a PBE calculation of a relaxed structure of Lu3Al, from OQMD via LeMat-Bulk.

a = 5.2290 Å, b = 5.2290 Å, c = 5.2290 Å
α = 60.00°, β = 60.00°, γ = 60.00°
Atoms (fractional coordinates):
Lu (0.2500, 0.2500, 0.2500)
Al (0.7500, 0.7500, 0.7500)
Lu (0.0000, 0.0000, 0.0000)
Lu (0.5000, 0.5000, 0.5000)

Its space group is No. 225. The calculation puts the density at 9.065 g/cm3. As for the energy: -4.3871 eV/atom. As for the total moment: 0.00 μB per atom.

[2]
The following is a PBE calculation of a relaxed structure of Nd4ErIn5, from OQMD via LeMat-Bulk.

a = 3.8230 Å, b = 3.8230 Å, c = 19.3678 Å
α = 90.00°, β = 90.00°, γ = 90.00°
Atoms (fractional coordinates):
Nd (0.0000, 0.0000, 0.6019)
In (0.5000, 0.5000, 0.7040)
Nd (0.0000, 0.0000, 0.3981)
In (0.5000, 0.5000, 0.0908)
In (0.5000, 0.5000, 0.9092)
Nd (0.0000, 0.0000, 0.1938)
In (0.5000, 0.5000, 0.5000)
Er (0.0000, 0.0000, 0.0000)
In (0.5000, 0.5000, 0.2960)
Nd (0.0000, 0.0000, 0.8062)

Its space group is No. 123. The calculation puts the density at 7.734 g/cm3. As for the energy: -4.2169 eV/atom. As for the total moment: 0.00 μB per atom.

[3]
The following is a PBE calculation of a relaxed structure of DyAuNO, from OQMD via LeMat-Bulk.

a = 3.7683 Å, b = 5.7062 Å, c = 6.1456 Å
α = 90.00°, β = 90.00°, γ = 90.00°
Atoms (fractional coordinates):
Dy (0.0000, 0.9947, 0.7127)
O (0.5000, 0.8859, 0.8559)
N (0.0000, 0.8857, 0.3558)
Au (0.5000, 0.4877, 0.7421)
N (0.0000, 0.3857, 0.6442)
Dy (0.0000, 0.4947, 0.2873)
O (0.5000, 0.3859, 0.1441)
Au (0.5000, 0.9877, 0.2579)

Its space group is No. 26. The calculation puts the density at 9.788 g/cm3. As for the energy: -6.2168 eV/atom. As for the total moment: 0.00 μB per atom.

[4]
The following is a PBE calculation of a relaxed structure of PrNpCu2As4, from OQMD via LeMat-Bulk.

a = 3.9656 Å, b = 3.9656 Å, c = 9.9129 Å
α = 90.00°, β = 90.00°, γ = 90.00°
Atoms (fractional coordinates):
Pr (0.0000, 0.0000, 0.7674)
Cu (0.5000, 0.0000, 0.4949)
Np (0.5000, 0.5000, 0.2405)
As (0.5000, 0.0000, 0.0118)
As (0.5000, 0.5000, 0.6464)
As (0.0000, 0.0000, 0.3321)
Cu (0.0000, 0.5000, 0.4949)
As (0.0000, 0.5000, 0.0118)

Its space group is No. 99. The calculation puts the density at 8.571 g/cm3. As for the energy: -6.0053 eV/atom. As for the total moment: 0.01 μB per atom.